<one>
VASP calculation (PBE) on a relaxed structure of BeFeCo3.

Geometry as extended XYZ:
```
5
Lattice="3.8226 0.0000 0.0000 0.0000 3.8226 0.0000 0.0000 0.0000 3.8226" Properties=species:S:1:pos:R:3 pbc="T T T"
Co 0.0000 1.9113 0.0000
Co 1.9113 0.0000 0.0000
Co 0.0000 0.0000 1.9113
Fe 1.9113 1.9113 1.9113
Be 0.0000 0.0000 0.0000
```

=====

<two>
VASP calculation (PBE) on a relaxed structure of BeFeCo3.

Geometry as extended XYZ:
```
5
Lattice="-1.6166 0.7561 -3.8087 1.3144 -3.7755 -1.3074 -3.6538 -1.6927 1.2148" Properties=species:S:1:pos:R:3 pbc="T T T"
Co -0.8083 0.3780 -1.9044
Co -1.8269 -0.8464 0.6074
Co 0.6572 -1.8878 -0.6537
Be -1.9780 -2.3561 -1.9506
Fe 0.0000 0.0000 0.0000
```

=====

Stability, descending: <one>, <two>

=====

<one>
VASP calculation (PBE) on a relaxed structure of Be2Fe2Co.

Geometry as extended XYZ:
```
10
Lattice="6.2263 0.0000 0.0000 0.0000 6.2263 0.0000 0.0000 0.0000 2.4906" Properties=species:S:1:pos:R:3 pbc="T T T"
Be 5.1287 2.0156 1.2453
Be 1.0976 4.2108 1.2453
Be 2.0156 1.0976 1.2453
Be 4.2108 5.1287 1.2453
Fe 5.4682 3.8714 0.0000
Fe 3.8714 0.7582 0.0000
Fe 0.7582 2.3550 0.0000
Fe 2.3550 5.4682 0.0000
Co 3.1132 3.1132 0.0000
Co 0.0000 0.0000 0.0000
```

=====

<two>
VASP calculation (PBE) on a relaxed structure of Be2Fe2Co.

Geometry as extended XYZ:
```
10
Lattice="3.8024 0.0000 0.0000 0.0000 4.3554 0.7933 0.0000 2.0878 6.2526" Properties=species:S:1:pos:R:3 pbc="T T T"
Fe 0.9506 2.7160 0.8854
Fe 2.8518 1.6453 2.3117
Fe 2.8518 3.7272 6.1604
Fe 0.9506 4.7979 4.7341
Be 2.8518 3.7862 3.7523
Be 0.9506 2.6005 5.5501
Be 2.8518 3.8427 1.4958
Be 0.9506 2.6570 3.2935
Co 0.9506 4.7448 2.3839
Co 2.8518 1.6984 4.6619
```

=====

Stability, descending: <two>, <one>

=====

<one>
VASP calculation (PBE) on a relaxed structure of Be3FeCo.

Geometry as extended XYZ:
```
5
Lattice="-3.4704 -1.5295 0.5745 1.6335 -3.2749 1.1486 0.0325 1.2838 3.6143" Properties=species:S:1:pos:R:3 pbc="T T T"
Fe -0.9022 -1.7603 2.6687
Be 0.8168 -1.6375 0.5743
Be -1.7352 -0.7648 0.2872
Be 0.0162 0.6419 1.8072
Co 0.0000 0.0000 0.0000
```

=====

<two>
VASP calculation (PBE) on a relaxed structure of Be3FeCo.

Geometry as extended XYZ:
```
5
Lattice="3.8328 0.0000 0.0000 0.0000 3.8328 0.0000 0.0000 0.0000 3.8328" Properties=species:S:1:pos:R:3 pbc="T T T"
Fe 0.0000 0.0000 0.0000
Co 1.9164 1.9164 1.9164
Be 0.0000 1.9164 0.0000
Be 0.0000 0.0000 1.9164
Be 1.9164 0.0000 0.0000
```

=====

<three>
VASP calculation (PBE) on a relaxed structure of Be3FeCo.

Geometry as extended XYZ:
```
10
Lattice="-3.2040 -1.7673 0.6746 1.2571 -2.9542 -1.7686 7.2245 0.4002 4.4667" Properties=species:S:1:pos:R:3 pbc="T T T"
Fe 4.7516 -1.1395 3.3817
Fe 0.5260 -3.1818 -0.0090
Co 3.5737 -3.6079 2.8691
Co 1.7039 -0.7134 0.5036
Be 2.5600 -2.7899 0.7823
Be 4.6133 -2.3058 1.4330
Be 0.6643 -2.0155 1.9397
Be 2.7176 -1.5314 2.5904
Be -0.3583 -1.1100 -0.2997
Be 5.6359 -3.2113 3.6724
```

=====

Stability, descending: <three>, <one>, <two>